1.
First-principles (PBE-GGA) data for crystalline Sm3Al11 at its relaxed geometry, as listed in OQMD.

Computed properties:
Magnetization = 0.0 Bohr magnetons per cell
Raw total energy = -120.9 eV for the cell shown
Calculated volume = 561.4 Å³/cell

Lattice parameters (Å, degrees): 4.360 9.955 12.933 90.00 90.00 90.00
Space group Immm (No. 71)
One atom of each set of equivalent atoms:
Sm1 0.000 0.000 0.000 (multiplicity 2)
Sm2 0.000 0.000 0.317 (multiplicity 4)
Al1 0.000 0.213 0.500 (multiplicity 4)
Al2 0.000 0.275 0.136 (multiplicity 8)
Al3 0.000 0.369 0.334 (multiplicity 8)
Al4 0.000 0.500 0.000 (multiplicity 2)

2.
First-principles (PBE-GGA) data for crystalline SmAl5 at its relaxed geometry, as listed in OQMD.

Computed properties:
Magnetization = 0.0 Bohr magnetons per cell
Raw total energy = -24.7 eV for the cell shown
Calculated volume = 117.4 Å³/cell

Lattice parameters (Å, degrees): 5.5677 5.5677 4.3749 90.00 90.00 120.00
Space group P6/mmm (No. 191)
One atom of each set of equivalent atoms:
Sm1 0.0000 0.0000 0.0000 (multiplicity 1)
Al1 0.0000 0.5000 0.5000 (multiplicity 3)
Al2 0.3333 0.6667 0.0000 (multiplicity 2)

3.
First-principles (PBE-GGA) data for crystalline SmAl at its relaxed geometry, as listed in OQMD.

Computed properties:
Magnetization = 0.0 Bohr magnetons per cell
Raw total energy = -74.1 eV for the cell shown
Calculated volume = 395.6 Å³/cell

Lattice parameters (Å, degrees): 5.931 11.677 5.711 90.00 90.00 90.00
Space group Pbcm (No. 57)
One atom of each set of equivalent atoms:
Sm1 0.096 0.167 0.250 (multiplicity 4)
Sm2 0.337 0.013 0.750 (multiplicity 4)
Al1 0.165 0.601 0.750 (multiplicity 4)
Al2 0.430 0.750 0.000 (multiplicity 4)

4.
First-principles (PBE-GGA) data for crystalline Sm3Al at its relaxed geometry, as listed in OQMD.

Computed properties:
Magnetization = 0.1 Bohr magnetons per cell
Raw total energy = -18.6 eV for the cell shown
Calculated volume = 113.8 Å³/cell

Lattice parameters (Å, degrees): 4.847 4.847 4.847 90.00 90.00 90.00
Space group Pm-3m (No. 221)
One atom of each set of equivalent atoms:
Sm1 0.000 0.000 0.500 (multiplicity 3)
Al1 0.500 0.500 0.500 (multiplicity 1)

5.
First-principles (PBE-GGA) data for crystalline SmAl at its relaxed geometry, as listed in OQMD.

Computed properties:
Magnetization = 0.0 Bohr magnetons per cell
Raw total energy = -8.6 eV for the cell shown
Calculated volume = 52.2 Å³/cell

Lattice parameters (Å, degrees): 3.4620 3.4620 5.0265 90.00 90.00 120.00
Space group P-6m2 (No. 187)
One atom of each set of equivalent atoms:
Sm1 0.0000 0.0000 0.0000 (multiplicity 1)
Al1 0.3333 0.6667 0.5000 (multiplicity 1)

6.
First-principles (PBE-GGA) data for crystalline Sm2Al at its relaxed geometry, as listed in OQMD.

Computed properties:
Magnetization = 0.0 Bohr magnetons per cell
Raw total energy = -96.7 eV for the cell shown
Calculated volume = 695.2 Å³/cell

Lattice parameters (Å, degrees): 8.859 8.859 8.859 90.00 90.00 90.00
Space group Fd-3m (No. 227, origin choice 2)
One atom of each set of equivalent atoms:
Sm1 0.000 0.000 0.000 (multiplicity 16)
Al1 0.125 0.125 0.625 (multiplicity 8)

7.
First-principles (PBE-GGA) data for crystalline SmAl at its relaxed geometry, as listed in OQMD.

Computed properties:
Magnetization = 0.1 Bohr magnetons per cell
Raw total energy = -26.6 eV for the cell shown
Calculated volume = 320.7 Å³/cell

Lattice parameters (Å, degrees): 6.845 6.845 6.845 90.00 90.00 90.00
Space group F-43m (No. 216)
One atom of each set of equivalent atoms:
Sm1 0.000 0.000 0.000 (multiplicity 4)
Al1 0.250 0.250 0.250 (multiplicity 4)

8.
First-principles (PBE-GGA) data for crystalline Sm3Al2 at its relaxed geometry, as listed in OQMD.

Computed properties:
Magnetization = 2.8 Bohr magnetons per cell
Raw total energy = -128.1 eV for the cell shown
Calculated volume = 960.3 Å³/cell

Lattice parameters (Å, degrees): 6.5156 6.5156 26.1206 90.00 90.00 120.00
Space group R-3c (No. 167, hexagonal axes)
One atom of each set of equivalent atoms:
Sm1 0.0000 0.3257 0.2500 (multiplicity 18)
Al1 0.0000 0.0000 0.1644 (multiplicity 12)

9.
First-principles (PBE-GGA) data for crystalline Sm2Al at its relaxed geometry, as listed in OQMD.

Computed properties:
Magnetization = 0.0 Bohr magnetons per cell
Raw total energy = -55.8 eV for the cell shown
Calculated volume = 337.3 Å³/cell

Lattice parameters (Å, degrees): 6.675 5.196 9.724 90.00 90.00 90.00
Space group Pnma (No. 62)
One atom of each set of equivalent atoms:
Sm1 0.026 0.250 0.206 (multiplicity 4)
Sm2 0.189 0.250 0.575 (multiplicity 4)
Al1 0.208 0.250 0.898 (multiplicity 4)

10.
First-principles (PBE-GGA) data for crystalline Sm3Al at its relaxed geometry, as listed in OQMD.

Computed properties:
Magnetization = 3.5 Bohr magnetons per cell
Raw total energy = -72.1 eV for the cell shown
Calculated volume = 456.1 Å³/cell

Lattice parameters (Å, degrees): 7.698 7.698 7.698 90.00 90.00 90.00
Space group Fm-3m (No. 225)
One atom of each set of equivalent atoms:
Sm1 0.000 0.000 0.000 (multiplicity 4)
Sm2 0.250 0.250 0.250 (multiplicity 8)
Al1 0.000 0.000 0.500 (multiplicity 4)

11.
First-principles (PBE-GGA) data for crystalline Sm3Al at its relaxed geometry, as listed in OQMD.

Computed properties:
Magnetization = 0.0 Bohr magnetons per cell
Raw total energy = -37.3 eV for the cell shown
Calculated volume = 227.8 Å³/cell

Lattice parameters (Å, degrees): 6.9975 6.9975 5.3721 90.00 90.00 120.00
Space group P6_3/mmc (No. 194)
One atom of each set of equivalent atoms:
Sm1 0.1768 0.3536 0.2500 (multiplicity 6)
Al1 0.3333 0.6667 0.7500 (multiplicity 2)

12.
First-principles (PBE-GGA) data for crystalline Sm3Al2 at its relaxed geometry, as listed in OQMD.

Computed properties:
Magnetization = 0.1 Bohr magnetons per cell
Raw total energy = -92.4 eV for the cell shown
Calculated volume = 546.2 Å³/cell

Lattice parameters (Å, degrees): 8.428 8.428 7.690 90.00 90.00 90.00
Space group P4_2/mnm (No. 136)
One atom of each set of equivalent atoms:
Sm1 0.000 0.500 0.250 (multiplicity 4)
Sm2 0.149 0.149 0.000 (multiplicity 4)
Sm3 0.202 0.202 0.500 (multiplicity 4)
Al1 0.118 0.882 0.310 (multiplicity 8)

13.
First-principles (PBE-GGA) data for crystalline SmAl3 at its relaxed geometry, as listed in OQMD.

Computed properties:
Magnetization = 0.0 Bohr magnetons per cell
Raw total energy = -64.9 eV for the cell shown
Calculated volume = 331.1 Å³/cell

Lattice parameters (Å, degrees): 6.918 6.918 6.918 90.00 90.00 90.00
Space group Fm-3m (No. 225)
One atom of each set of equivalent atoms:
Sm1 0.000 0.000 0.000 (multiplicity 4)
Al1 0.000 0.000 0.500 (multiplicity 4)
Al2 0.250 0.250 0.250 (multiplicity 8)